Entry 1:
# Ba2YPb2

A relaxed structure of Ba2YPb2 (GGA-PBE, the Alexandria database).

- Total energy: -3.668 eV per atom
- Space-group type: No. 127
- Total moment: 0.00 μB per cell
- Energy of formation: -0.123 eV/atom
- Polymorph energy (0 for the lowest one): 323 meV per atom

Lattice parameters (Å, degrees): 10.2731 10.2731 3.6896 90.00 90.00 90.00
With the nearest neighbours (Å) after each atom.
Fractional positions:
Ba: 0.8784 0.6216 0.0000  6 Pb 3.46-3.63, 3 Ba 3.53-3.69
Ba: 0.1216 0.3784 0.0000  6 Pb 3.46-3.63, 3 Ba 3.53-3.69
Ba: 0.3784 0.8784 0.0000  6 Pb 3.46-3.63, 3 Ba 3.53-3.69
Ba: 0.6216 0.1216 0.0000  6 Pb 3.46-3.63, 3 Ba 3.53-3.69
Pb: 0.3227 0.1773 0.5000  6 Ba 3.46-3.63, 2 Pb 3.69
Pb: 0.1773 0.6773 0.5000  6 Ba 3.46-3.63, 2 Pb 3.69
Pb: 0.6773 0.8227 0.5000  6 Ba 3.46-3.63, 2 Pb 3.69
Pb: 0.8227 0.3227 0.5000  6 Ba 3.46-3.63, 2 Pb 3.69
Y: 0.0000 0.0000 0.0000  2 Y 3.69, 4 Ba 4.08
Y: 0.5000 0.5000 0.0000  2 Y 3.69, 4 Ba 4.08


Entry 2:
# HfTiH

A relaxed structure of HfTiH (GGA-PBE, the Alexandria database).

- Total energy: -6.582 eV per atom
- Space-group type: No. 216
- Total moment: 0.00 μB per cell
- Polymorph energy (0 for the lowest one): 662 meV per atom

Lattice parameters (Å, degrees): 3.9251 3.9251 3.9251 60.00 60.00 60.00
With the nearest neighbours (Å) after each atom.
Fractional positions:
H: 0.2500 0.2500 0.2500  4 Ti 2.40, 4 Hf 2.40
Ti: 0.0000 0.0000 0.0000  4 H 2.40
Hf: 0.5000 0.5000 0.5000  4 H 2.40